Record 1
VASP calculation (PBE-GGA) on a relaxed structure of NaNb2AlAg.

Unit cell a=5.1028 b=5.1028 c=4.7360 alpha=90.00 beta=90.00 gamma=90.00
Fractional coordinates of all 5 atoms:
Na1 0.0000 0.0000 0.0000
Nb1 0.0000 0.5000 0.5000
Nb2 0.5000 0.0000 0.5000
Al1 0.5000 0.5000 0.0000
Ag1 0.5000 0.5000 0.5000

Energy of formation ... 1.416 eV/atom
SG ... P4/mmm, No. 123

***

Record 2
VASP calculation (PBE-GGA) on a relaxed structure of NaAlAgPb.

Unit cell a=5.0093 b=5.0093 c=5.0093 alpha=60.00 beta=60.00 gamma=60.00
Fractional coordinates of all 4 atoms:
Na1 0.0000 0.0000 0.0000
Al1 0.5000 0.5000 0.5000
Ag1 0.7500 0.7500 0.7500
Pb1 0.2500 0.2500 0.2500

Energy of formation ... 0.088 eV/atom
SG ... F-43m, No. 216

***

Record 3
VASP calculation (PBE-GGA) on a relaxed structure of NaPmAlAg.

Unit cell a=4.9952 b=4.9952 c=4.9952 alpha=60.00 beta=60.00 gamma=60.00
Fractional coordinates of all 4 atoms:
Na1 0.0000 0.0000 0.0000
Pm1 0.2500 0.2500 0.2500
Al1 0.7500 0.7500 0.7500
Ag1 0.5000 0.5000 0.5000

Energy of formation ... -0.106 eV/atom
SG ... F-43m, No. 216

***

Record 4
VASP calculation (PBE-GGA) on a relaxed structure of RbNa2AlAg.

Unit cell a=5.8831 b=5.8831 c=4.9995 alpha=90.00 beta=90.00 gamma=90.00
Fractional coordinates of all 5 atoms:
Rb1 0.0000 0.0000 0.0000
Na1 0.0000 0.5000 0.5000
Na2 0.5000 0.0000 0.5000
Al1 0.5000 0.5000 0.0000
Ag1 0.5000 0.5000 0.5000

Energy of formation ... 0.104 eV/atom
SG ... P4/mmm, No. 123

***

Record 5
VASP calculation (PBE-GGA) on a relaxed structure of RbNa2AlAg.

Unit cell a=5.9433 b=5.9433 c=5.0745 alpha=90.00 beta=90.00 gamma=90.00
Fractional coordinates of all 5 atoms:
Rb1 0.0000 0.0000 0.0000
Na1 0.0000 0.5000 0.5000
Na2 0.5000 0.0000 0.5000
Al1 0.5000 0.5000 0.5000
Ag1 0.5000 0.5000 0.0000

Energy of formation ... 0.143 eV/atom
SG ... P4/mmm, No. 123

***

Record 6
VASP calculation (PBE-GGA) on a relaxed structure of NaAlAgRh2.

Unit cell a=4.5135 b=4.5135 c=5.0001 alpha=90.00 beta=90.00 gamma=90.00
Fractional coordinates of all 5 atoms:
Na1 0.0000 0.0000 0.0000
Al1 0.0000 0.0000 0.5000
Ag1 0.5000 0.5000 0.0000
Rh1 0.0000 0.5000 0.5000
Rh2 0.5000 0.0000 0.5000

Energy of formation ... 0.522 eV/atom
SG ... P4/mmm, No. 123

***

Record 7
VASP calculation (PBE-GGA) on a relaxed structure of NaAl2AgS4.

Unit cell a=7.3918 b=7.3918 c=7.3918 alpha=138.08 beta=138.08 gamma=60.78
Fractional coordinates of all 8 atoms:
Na1 0.0000 0.0000 0.0000
Al1 0.2500 0.7500 0.5000
Al2 0.7500 0.2500 0.5000
Ag1 0.5000 0.5000 0.0000
S1 0.1100 0.1100 0.5129
S2 0.4029 0.8900 0.0000
S3 0.5971 0.5971 0.4871
S4 0.8900 0.4029 0.0000

Raw formation energy ... -0.9414 eV per atom
SG ... I-42m, No. 121

***

Record 8
VASP calculation (PBE-GGA) on a relaxed structure of NaSmAlAg.

Unit cell a=4.9792 b=4.9792 c=4.9792 alpha=60.00 beta=60.00 gamma=60.00
Fractional coordinates of all 4 atoms:
Na1 0.0000 0.0000 0.0000
Sm1 0.7500 0.7500 0.7500
Al1 0.2500 0.2500 0.2500
Ag1 0.5000 0.5000 0.5000

Energy of formation ... -0.102 eV/atom
SG ... F-43m, No. 216